(1)
Here is LuTlCd2 after structural relaxation from the Alexandria database. Energies are from PBE-GGA.

energy	-2.24	eV/atom
ΔE to the lowest computed polymorph	0.047	eV/atom
formation energy	-0.062	eV/atom

a = 5.194 Å, b = 5.194 Å, c = 5.194 Å
α = 60.00°, β = 60.00°, γ = 60.00°
Sites, in units of the cell vectors:
Cd 0.750 0.750 0.750
Cd 0.250 0.250 0.250
Tl 0.500 0.500 0.500
Lu 0.000 0.000 0.000

---

(2)
Here is LuTlCd4 after structural relaxation from the Alexandria database. Energies are from PBE-GGA.

energy	-1.81	eV/atom
formation energy	-0.048	eV/atom

a = 5.948 Å, b = 5.948 Å, c = 5.948 Å
α = 60.00°, β = 60.00°, γ = 60.00°
Sites, in units of the cell vectors:
Cd 0.126 0.625 0.625
Cd 0.625 0.126 0.625
Cd 0.625 0.625 0.625
Cd 0.625 0.625 0.126
Lu 0.250 0.250 0.250
Tl 0.000 0.000 0.000

---

(3)
Here is Lu2TlCd after structural relaxation from the Alexandria database. Energies are from PBE-GGA.

energy	-3.37	eV/atom
ΔE to the lowest computed polymorph	0.000	eV/atom
formation energy	-0.285	eV/atom

a = 3.713 Å, b = 3.713 Å, c = 7.353 Å
α = 90.00°, β = 90.00°, γ = 90.00°
Sites, in units of the cell vectors:
Lu 0.000 0.000 0.744
Lu 0.000 0.000 0.256
Tl 0.500 0.500 0.000
Cd 0.500 0.500 0.500

---

(4)
Here is LuTlCd2 after structural relaxation from the Alexandria database. Energies are from PBE-GGA.

energy	-2.29	eV/atom
ΔE to the lowest computed polymorph	0.000	eV/atom
formation energy	-0.109	eV/atom

a = 3.485 Å, b = 3.485 Å, c = 8.472 Å
α = 90.00°, β = 90.00°, γ = 90.00°
Sites, in units of the cell vectors:
Cd 0.000 0.000 0.238
Cd 0.000 0.000 0.762
Lu 0.500 0.500 0.000
Tl 0.500 0.500 0.500

---

(5)
Here is TmLuTlCd after structural relaxation from the Alexandria database. Energies are from PBE-GGA.

energy	-3.36	eV/atom
formation energy	-0.292	eV/atom

a = 5.248 Å, b = 5.248 Å, c = 5.248 Å
α = 60.00°, β = 60.00°, γ = 60.00°
Sites, in units of the cell vectors:
Lu 0.500 0.500 0.500
Tl 0.250 0.250 0.250
Cd 0.750 0.750 0.750
Tm 0.000 0.000 0.000

---

(6)
Here is YLuTlCd after structural relaxation from the Alexandria database. Energies are from PBE-GGA.

energy	-3.89	eV/atom
formation energy	-0.325	eV/atom

a = 5.285 Å, b = 5.285 Å, c = 5.285 Å
α = 60.00°, β = 60.00°, γ = 60.00°
Sites, in units of the cell vectors:
Y 0.750 0.750 0.750
Lu 0.250 0.250 0.250
Tl 0.500 0.500 0.500
Cd 0.000 0.000 0.000

---

(7)
Here is LuTlZnCd after structural relaxation from the Alexandria database. Energies are from PBE-GGA.

energy	-2.40	eV/atom
formation energy	-0.127	eV/atom

a = 5.037 Å, b = 5.037 Å, c = 5.037 Å
α = 60.00°, β = 60.00°, γ = 60.00°
Sites, in units of the cell vectors:
Tl 0.750 0.750 0.750
Zn 0.250 0.250 0.250
Lu 0.500 0.500 0.500
Cd 0.000 0.000 0.000

---

(8)
Here is LuZrTlCd after structural relaxation from the Alexandria database. Energies are from PBE-GGA.

energy	-4.21	eV/atom
formation energy	-0.120	eV/atom

a = 5.110 Å, b = 5.110 Å, c = 5.110 Å
α = 60.00°, β = 60.00°, γ = 60.00°
Sites, in units of the cell vectors:
Cd 0.750 0.750 0.750
Lu 0.500 0.500 0.500
Zr 0.000 0.000 0.000
Tl 0.250 0.250 0.250

---

(9)
Here is Tm2LuCd after structural relaxation from the Alexandria database. Energies are from PBE-GGA.

energy	-3.43	eV/atom
ΔE to the lowest computed polymorph	0.299	eV/atom
formation energy	0.160	eV/atom

a = 3.409 Å, b = 3.409 Å, c = 12.034 Å
α = 81.86°, β = 81.86°, γ = 60.00°
Sites, in units of the cell vectors:
Tm 0.089 0.089 0.732
Tm 0.911 0.911 0.268
Lu 0.500 0.500 0.500
Cd 0.000 0.000 0.000

---

(10)
Here is TmLu2Cd after structural relaxation from the Alexandria database. Energies are from PBE-GGA.

energy	-3.43	eV/atom
ΔE to the lowest computed polymorph	0.317	eV/atom
formation energy	0.176	eV/atom

a = 3.398 Å, b = 3.398 Å, c = 11.867 Å
α = 81.77°, β = 81.77°, γ = 60.00°
Sites, in units of the cell vectors:
Lu 0.095 0.095 0.715
Lu 0.905 0.905 0.285
Cd 0.500 0.500 0.500
Tm 0.000 0.000 0.000

---

(11)
Here is Tm2LuCd after structural relaxation from the Alexandria database. Energies are from PBE-GGA.

energy	-3.73	eV/atom
ΔE to the lowest computed polymorph	0.000	eV/atom
formation energy	-0.139	eV/atom

a = 3.516 Å, b = 3.516 Å, c = 8.967 Å
α = 90.00°, β = 90.00°, γ = 90.00°
Sites, in units of the cell vectors:
Lu 0.500 0.500 0.500
Tm 0.000 0.000 0.768
Tm 0.000 0.000 0.232
Cd 0.500 0.500 0.000

---

(12)
Here is TmLu2Cd after structural relaxation from the Alexandria database. Energies are from PBE-GGA.

energy	-3.69	eV/atom
ΔE to the lowest computed polymorph	0.057	eV/atom
formation energy	-0.084	eV/atom

a = 4.760 Å, b = 4.762 Å, c = 4.762 Å
α = 90.00°, β = 90.00°, γ = 90.00°
Sites, in units of the cell vectors:
Lu 0.000 0.000 0.500
Lu 0.000 0.500 0.000
Cd 0.500 0.000 0.000
Tm 0.500 0.500 0.500

---

- Among the records above, which one has the highest formation energy?
  number 10

---

- What is the energy in the sixth record?
  -3.89 eV/atom

---

- Which value of energy does entry 5 give?
  -3.36 eV/atom

---

- Among the records above, which one has the highest formation energy?
  number 10